First-principles (PBE-GGA) data for an optimized crystal structure of LiPrCdAg, as listed in the Alexandria database.

Cell lengths 7.1213, 7.1213, 7.1213 Å; angles 90.00, 90.00, 90.00 degrees
Space group F-43m (No. 216)
One atom of each set of equivalent atoms:
Li  0.0000  0.0000  0.0000 [4 per cell]
Pr  0.2500  0.2500  0.2500 [4 per cell]
Cd  0.2500  0.2500  0.7500 [4 per cell]
Ag  0.0000  0.0000  0.5000 [4 per cell]

Calculated values
- ΔH_f (0 K): -0.216 eV per atom


First-principles (PBE-GGA) data for an optimized crystal structure of NiMo2Br, as listed in the Alexandria database.

Cell lengths 3.1690, 3.2936, 6.9692 Å; angles 90.00, 90.00, 90.00 degrees
Space group Pmmm (No. 47)
One atom of each set of equivalent atoms:
Ni  0.0000  0.0000  0.0000 [1 per cell]
Mo  0.5000  0.5000  0.1708 [2 per cell]
Br  0.0000  0.5000  0.5000 [1 per cell]

Calculated values
- Distance to the lowest polymorph of the same formula: 0.123 eV per atom


First-principles (PBE-GGA) data for an optimized crystal structure of La4Pm5Dy2, as listed in the Alexandria database.

Cell lengths 18.0098, 3.5959, 11.9010 Å; angles 90.00, 94.26, 90.00 degrees
Space group C2/m (No. 12)
One atom of each set of equivalent atoms:
La  0.0396  0.0000  0.2629 [4 per cell]
La  0.1415  0.5000  0.7955 [4 per cell]
Pm  0.0000  0.5000  0.0000 [2 per cell]
Pm  0.0965  0.0000  0.5392 [4 per cell]
Pm  0.1789  0.0000  0.0734 [4 per cell]
Dy  0.2165  0.5000  0.3618 [4 per cell]

Calculated values
- ΔH_f (0 K): 0.077 eV per atom
- Distance to the lowest polymorph of the same formula: 0.000 eV per atom


First-principles (PBE-GGA) data for an optimized crystal structure of Li2ZrMo, as listed in the Alexandria database.

Cell lengths 3.4563, 3.4563, 5.4667 Å; angles 90.00, 90.00, 90.00 degrees
Space group P4/mmm (No. 123)
One atom of each set of equivalent atoms:
Li  0.0000  0.0000  0.2215 [2 per cell]
Zr  0.5000  0.5000  0.5000 [1 per cell]
Mo  0.5000  0.5000  0.0000 [1 per cell]

Calculated values
- ΔH_f (0 K): 0.586 eV per atom
- Distance to the lowest polymorph of the same formula: 0.363 eV per atom


First-principles (PBE-GGA) data for an optimized crystal structure of SrTb2Y, as listed in the Alexandria database.

Cell lengths 3.6848, 3.6848, 36.4987 Å; angles 90.00, 90.00, 120.00 degrees
Space group R3m (No. 160, hexagonal axes)
One atom of each set of equivalent atoms:
Sr  0.0000  0.0000  0.0000 [3 per cell]
Tb  0.0000  0.0000  0.5766 [3 per cell]
Tb  0.0000  0.0000  0.7557 [3 per cell]
Y  0.0000  0.0000  0.1658 [3 per cell]

Calculated values
- ΔH_f (0 K): 0.124 eV per atom
- Distance to the lowest polymorph of the same formula: 0.001 eV per atom


First-principles (PBE-GGA) data for an optimized crystal structure of Cs3OsI6, as listed in the Alexandria database.

Cell lengths 12.6003, 12.6003, 12.6003 Å; angles 90.00, 90.00, 90.00 degrees
Space group Fm-3m (No. 225)
One atom of each set of equivalent atoms:
Cs  0.0000  0.0000  0.0000 [4 per cell]
Cs  0.2500  0.2500  0.2500 [8 per cell]
Os  0.0000  0.0000  0.5000 [4 per cell]
I  0.0000  0.0000  0.2848 [24 per cell]

Calculated values
- E: -3.080 eV per atom


First-principles (PBE-GGA) data for an optimized crystal structure of CeFeN2, as listed in the Alexandria database.

Cell lengths 5.3750, 5.3750, 6.3411 Å; angles 90.00, 90.00, 120.00 degrees
Space group P3_121 (No. 152)
One atom of each set of equivalent atoms:
Ce  0.0000  0.6488  0.1667 [3 per cell]
Fe  0.0000  0.5937  0.6667 [3 per cell]
N  0.1124  0.4312  0.8789 [6 per cell]

Calculated values
- E: -8.588 eV per atom


First-principles (PBE-GGA) data for an optimized crystal structure of KHf, as listed in the Alexandria database.

Cell lengths 3.2682, 3.3058, 13.1323 Å; angles 90.00, 90.00, 90.00 degrees
Space group Pmmn (No. 59, origin choice 2)
One atom of each set of equivalent atoms:
K  0.2500  0.2500  0.1594 [2 per cell]
Hf  0.2500  0.7500  0.4272 [2 per cell]

Calculated values
- ΔH_f (0 K): 0.510 eV per atom
- Distance to the lowest polymorph of the same formula: 0.000 eV per atom